Arrangement A

VASP calculation (PBE) on a relaxed NaSiIr crystal.

The structure in extended XYZ format:
```
3
Lattice="0.0000 2.9917 2.9917 2.9917 0.0000 2.9917 2.9917 2.9917 0.0000" Properties=species:S:1:pos:R:3 pbc="T T T"
Ir 1.4959 1.4959 1.4959
Na 0.0000 0.0000 0.0000
Si 4.4876 4.4876 4.4876
```

## Properties
* space group: F-43m, No. 216
* calculated volume: 17.85 Å³/atom

Arrangement B

VASP calculation (PBE) on a relaxed NaSiIr crystal.

The structure in extended XYZ format:
```
3
Lattice="-1.5146 0.1385 3.8697 -3.8584 -1.3435 0.7716 -0.5879 -3.5223 2.1297" Properties=species:S:1:pos:R:3 pbc="T T T"
Ir -1.4902 -1.1818 1.6927
Na -4.4707 -3.5454 5.0782
Si 0.0000 0.0000 0.0000
```

## Properties
* space group: F-43m, No. 216
* calculated volume: 16.94 Å³/atom

Relative energies, kJ/mol of atoms: arrangement A 102.4; arrangement B 0.0.

Arrangement A

VASP calculation (PBE) on a relaxed NaSiSnIr crystal.

The structure in extended XYZ format:
```
4
Lattice="0.0000 3.2820 3.2820 3.2820 0.0000 3.2820 3.2820 3.2820 0.0000" Properties=species:S:1:pos:R:3 pbc="T T T"
Ir 3.2820 3.2820 3.2820
Na 4.9230 4.9230 4.9230
Si 1.6410 1.6410 1.6410
Sn 0.0000 0.0000 0.0000
```

## Properties
* space group: F-43m, No. 216
* calculated volume: 17.68 Å³/atom

Arrangement B

VASP calculation (PBE) on a relaxed NaSiSnIr crystal.

The structure in extended XYZ format:
```
4
Lattice="0.0000 3.2350 3.2350 3.2350 0.0000 3.2350 3.2350 3.2350 0.0000" Properties=species:S:1:pos:R:3 pbc="T T T"
Ir 1.6175 1.6175 1.6175
Na 4.8525 4.8525 4.8525
Si 3.2350 3.2350 3.2350
Sn 0.0000 0.0000 0.0000
```

## Properties
* space group: F-43m, No. 216
* calculated volume: 16.93 Å³/atom

Arrangement C

VASP calculation (PBE) on a relaxed NaSiSnIr crystal.

The structure in extended XYZ format:
```
4
Lattice="0.0000 3.3168 3.3168 3.3168 0.0000 3.3168 3.3168 3.3168 0.0000" Properties=species:S:1:pos:R:3 pbc="T T T"
Ir 0.0000 0.0000 0.0000
Na 4.9752 4.9752 4.9752
Si 3.3168 3.3168 3.3168
Sn 1.6584 1.6584 1.6584
```

## Properties
* space group: F-43m, No. 216
* calculated volume: 18.24 Å³/atom

Relative energies, kJ/mol of atoms: arrangement A 34.4; arrangement B 0.0; arrangement C 35.7.